# 1
A plane-wave DFT calculation with GGA-PBE was carried out for CaH2Pt after structural relaxation.

The value obtained for the electronic total energy is -4.168 eV per atom. The total moment comes out at 0.0 Bohr magnetons per cell. For the energy relative to the lowest polymorph listed for this composition, the calculation gives 0.159 eV per atom. The crystal system is tetragonal.

It has space group I-42d (No. 122), with a = 4.681 Å, b = 4.681 Å, c = 9.245 Å, α = 90.00°, β = 90.00° and γ = 90.00°. Symmetry generates all atoms from Ca at (0.000, 0.000, 0.000), H at (0.147, 0.250, 0.625) and Pt at (0.000, 0.000, 0.500).

---

# 2
A plane-wave DFT calculation with GGA-PBE was carried out for CsKSr2Pt after structural relaxation.

The value obtained for the electronic total energy is -2.487 eV per atom. The total moment comes out at 0.0 Bohr magnetons per cell. As for the calculated formation energy: -0.215 eV/atom. For the energy relative to the lowest polymorph listed for this composition, the calculation gives 0.000 eV per atom. The crystal system is tetragonal.

It has space group P4/mmm (No. 123), with a = 6.042 Å, b = 6.042 Å, c = 7.116 Å, α = 90.00°, β = 90.00° and γ = 90.00°. Symmetry generates all atoms from Cs at (0.000, 0.000, 0.000), K at (0.500, 0.500, 0.000), Sr at (0.000, 0.500, 0.500) and Pt at (0.000, 0.000, 0.500).